[1]
A geometry-optimized DySi2Ni9 structure. Source: Alexandria via LeMat-Bulk, functional PBE.

## Properties
As for the symmetry: I4_1/amd.

```
DySi2Ni9
1.0
-4.8880 4.8880 3.0804
4.8880 -4.8880 3.0804
4.8880 4.8880 -3.0804
Dy Si Ni
2 4 18
Direct
0.3750 0.6250 0.7500
0.6250 0.3750 0.2500
0.0000 0.0000 0.0000
0.0000 0.0000 0.5000
0.0000 0.5000 0.0000
0.5000 0.0000 0.5000
0.1250 0.8750 0.2500
0.1377 0.5614 0.3286
0.1377 0.8091 0.5763
0.1909 0.2672 0.3286
0.1909 0.8623 0.9237
0.2672 0.1909 0.8286
0.2672 0.4386 0.0763
0.4386 0.2672 0.5763
0.4386 0.8623 0.1714
0.5614 0.1377 0.8286
0.5614 0.7328 0.4237
0.7328 0.5614 0.9237
0.7328 0.8091 0.1714
0.8091 0.1377 0.0763
0.8091 0.7328 0.6714
0.8623 0.1909 0.4237
0.8623 0.4386 0.6714
0.8750 0.1250 0.7500
```

[2]
A geometry-optimized Dy2Si5Ni3 structure. Source: Alexandria via LeMat-Bulk, functional PBE.

## Properties
As for the symmetry: Ibam.

```
Dy2Si5Ni3
1.0
-4.7998 5.5603 2.8275
4.7998 -5.5603 2.8275
4.7998 5.5603 -2.8275
Dy Si Ni
4 10 6
Direct
0.1310 0.2364 0.3675
0.3690 0.7364 0.1054
0.6310 0.2636 0.8946
0.8690 0.7636 0.6325
0.0161 0.7500 0.2661
0.1077 0.6517 0.7595
0.2500 0.2500 0.0000
0.3923 0.1517 0.5440
0.4839 0.7500 0.7339
0.5161 0.2500 0.2661
0.6077 0.8483 0.4560
0.7500 0.7500 0.0000
0.8923 0.3483 0.2405
0.9839 0.2500 0.7339
0.1343 0.8869 0.0212
0.2500 0.7500 0.5000
0.3657 0.3869 0.7527
0.6343 0.6131 0.2473
0.7500 0.2500 0.5000
0.8657 0.1131 0.9788
```

[3]
A geometry-optimized Dy2Si4Ni5 structure. Source: Alexandria via LeMat-Bulk, functional PBE.

## Properties
As for the symmetry: Fmmm.

```
Dy2Si4Ni5
1.0
0.0000 4.5982 6.6495
2.6737 0.0000 6.6495
2.6737 4.5982 0.0000
Dy Si Ni
2 4 5
Direct
0.1396 0.1396 0.8604
0.8604 0.8604 0.1396
0.2188 0.5153 0.4847
0.4847 0.7812 0.2188
0.5153 0.2188 0.7812
0.7812 0.4847 0.5153
0.0000 0.0000 0.5000
0.2500 0.2500 0.2500
0.5000 0.5000 0.0000
0.5000 0.5000 0.5000
0.7500 0.7500 0.7500
```

[4]
A geometry-optimized DySi4Ni6 structure. Source: Alexandria via LeMat-Bulk, functional PBE.

## Properties
As for the symmetry: P-6m2.

```
DySi4Ni6
1.0
6.6191 0.0000 0.0000
-3.3095 5.7323 0.0000
0.0000 0.0000 3.6960
Dy Si Ni
1 4 6
Direct
0.0000 0.0000 0.0000
0.3333 0.6667 0.0000
0.3924 0.1962 0.5000
0.8038 0.1962 0.5000
0.8038 0.6076 0.5000
0.2043 0.4085 0.5000
0.2043 0.7957 0.5000
0.5353 0.0705 0.0000
0.5353 0.4647 0.0000
0.5915 0.7957 0.5000
0.9295 0.4647 0.0000
```

[5]
A geometry-optimized DySiNi structure. Source: Alexandria via LeMat-Bulk, functional PBE.

## Properties
As for the symmetry: P-62m.

```
DySiNi
1.0
6.8057 0.0000 0.0000
-3.4028 5.8939 0.0000
0.0000 0.0000 3.7590
Dy Si Ni
3 3 3
Direct
0.0000 0.4159 0.0000
0.4159 0.0000 0.0000
0.5841 0.5841 0.0000
0.0000 0.7628 0.5000
0.2372 0.2372 0.5000
0.7628 0.0000 0.5000
0.0000 0.0000 0.0000
0.3333 0.6667 0.5000
0.6667 0.3333 0.5000
```

[6]
A geometry-optimized Dy4SiNi3 structure. Source: Alexandria via LeMat-Bulk, functional PBE.

## Properties
As for the symmetry: Pmm2.

```
Dy4SiNi3
1.0
3.9670 0.0000 0.0000
0.0000 4.0350 0.0000
0.0000 0.0000 10.3228
Dy Si Ni
4 1 3
Direct
0.0000 0.0000 0.0000
0.0000 0.5000 0.2776
0.5000 0.0000 0.4922
0.5000 0.5000 0.7795
0.0000 0.0000 0.7033
0.0000 0.5000 0.5684
0.5000 0.0000 0.2062
0.5000 0.5000 0.0677
```

[7]
A geometry-optimized Dy2Si7Ni12 structure. Source: Alexandria via LeMat-Bulk, functional PBE.

## Properties
As for the symmetry: P-6.

```
Dy2Si7Ni12
1.0
9.1981 0.0000 0.0000
-4.5991 7.9658 0.0000
0.0000 0.0000 3.6952
Dy Si Ni
2 7 12
Direct
0.0000 0.0000 0.0000
0.3333 0.6667 0.5000
0.0612 0.6110 0.0000
0.2644 0.0340 0.5000
0.3890 0.4503 0.0000
0.5497 0.9388 0.0000
0.6667 0.3333 0.0000
0.7696 0.7356 0.5000
0.9660 0.2304 0.5000
0.0399 0.7585 0.5000
0.1113 0.3890 0.0000
0.2415 0.2814 0.5000
0.2777 0.8887 0.0000
0.3880 0.2031 0.0000
0.5531 0.1266 0.5000
0.5734 0.4469 0.5000
0.6110 0.7223 0.0000
0.7186 0.9601 0.5000
0.7969 0.1849 0.0000
0.8151 0.6120 0.0000
0.8734 0.4266 0.5000
```

[8]
A geometry-optimized DySiNi structure. Source: Alexandria via LeMat-Bulk, functional PBE.

## Properties
As for the symmetry: Pnma.

```
DySiNi
1.0
6.8804 0.0000 0.0000
0.0000 4.1686 0.0000
0.0000 0.0000 7.1423
Dy Si Ni
4 4 4
Direct
0.0100 0.2500 0.2008
0.4900 0.7500 0.7008
0.5100 0.2500 0.2992
0.9900 0.7500 0.7992
0.1906 0.2500 0.5879
0.3094 0.7500 0.0879
0.6906 0.2500 0.9121
0.8094 0.7500 0.4121
0.1872 0.7500 0.4174
0.3128 0.2500 0.9174
0.6872 0.7500 0.0826
0.8128 0.2500 0.5826
```

[9]
A geometry-optimized Dy3Si5Ni6 structure. Source: Alexandria via LeMat-Bulk, functional PBE.

## Properties
As for the symmetry: Pmmn.

```
Dy3Si5Ni6
1.0
3.9036 0.0000 0.0000
0.0000 11.7695 0.0000
0.0000 0.0000 9.3030
Dy Si Ni
6 10 12
Direct
0.2500 0.0855 0.2477
0.2500 0.4145 0.2477
0.2500 0.7500 0.2475
0.7500 0.2500 0.7525
0.7500 0.5855 0.7523
0.7500 0.9145 0.7523
0.2500 0.0801 0.8567
0.2500 0.4199 0.8567
0.2500 0.6346 0.5197
0.2500 0.7500 0.8795
0.2500 0.8654 0.5197
0.7500 0.1346 0.4803
0.7500 0.2500 0.1205
0.7500 0.3654 0.4803
0.7500 0.5801 0.1433
0.7500 0.9199 0.1433
0.2500 0.0544 0.5930
0.2500 0.2500 0.4986
0.2500 0.2500 0.9891
0.2500 0.4456 0.5930
0.2500 0.5803 0.0064
0.2500 0.9197 0.0064
0.7500 0.0803 0.9936
0.7500 0.4197 0.9936
0.7500 0.5544 0.4070
0.7500 0.7500 0.0109
0.7500 0.7500 0.5014
0.7500 0.9456 0.4070
```

[10]
A geometry-optimized Dy2Si3Ni2 structure. Source: Alexandria via LeMat-Bulk, functional PBE.

## Properties
The value obtained for the energy relative to the lowest polymorph listed for this composition is 0 meV per atom. As for the symmetry: Cmcm.

```
Dy2Si3Ni2
1.0
2.0392 -8.6371 0.0000
2.0392 8.6371 0.0000
0.0000 0.0000 6.5901
Dy Si Ni
4 6 4
Direct
0.0526 0.9474 0.7500
0.1584 0.8416 0.2500
0.8416 0.1584 0.7500
0.9474 0.0526 0.2500
0.2232 0.7768 0.7500
0.4361 0.5639 0.5668
0.4361 0.5639 0.9332
0.5639 0.4361 0.0668
0.5639 0.4361 0.4332
0.7768 0.2232 0.2500
0.3054 0.6946 0.0538
0.3054 0.6946 0.4462
0.6946 0.3054 0.5538
0.6946 0.3054 0.9462
```

[11]
A geometry-optimized Dy3SiNi2 structure. Source: Alexandria via LeMat-Bulk, functional PBE.

## Properties
As for the symmetry: Pnma.

```
Dy3SiNi2
1.0
11.3879 0.0000 0.0000
0.0000 3.9460 0.0000
0.0000 0.0000 11.3748
Dy Si Ni
12 4 8
Direct
0.0632 0.2500 0.1198
0.1178 0.7500 0.5620
0.1912 0.2500 0.8134
0.3088 0.7500 0.3134
0.3822 0.2500 0.0620
0.4368 0.7500 0.6198
0.5632 0.2500 0.3802
0.6178 0.7500 0.9380
0.6912 0.2500 0.6866
0.8088 0.7500 0.1866
0.8822 0.2500 0.4380
0.9368 0.7500 0.8802
0.1271 0.2500 0.3684
0.3729 0.7500 0.8684
0.6271 0.2500 0.1316
0.8729 0.7500 0.6316
0.0344 0.7500 0.3111
0.1931 0.7500 0.9855
0.3069 0.2500 0.4855
0.4656 0.2500 0.8111
0.5344 0.7500 0.1889
0.6931 0.7500 0.5145
0.8069 0.2500 0.0145
0.9656 0.2500 0.6889
```

[12]
A geometry-optimized Dy3Si4Ni2 structure. Source: Alexandria via LeMat-Bulk, functional PBE.

## Properties
The value obtained for the energy relative to the lowest polymorph listed for this composition is 0 meV per atom. As for the symmetry: C2/m.

```
Dy3Si4Ni2
1.0
5.3159 -1.9859 0.0000
5.3159 1.9859 0.0000
-1.4722 0.0000 7.8527
Dy Si Ni
3 4 2
Direct
0.0000 0.0000 0.0000
0.3357 0.3357 0.3378
0.6643 0.6643 0.6622
0.0565 0.0565 0.3829
0.2810 0.2810 0.9332
0.7190 0.7190 0.0668
0.9435 0.9435 0.6171
0.3920 0.3920 0.7213
0.6080 0.6080 0.2787
```

[13]
A geometry-optimized DySi3Ni5 structure. Source: Alexandria via LeMat-Bulk, functional PBE.

## Properties
The value obtained for the energy relative to the lowest polymorph listed for this composition is 0 meV per atom. As for the symmetry: Pnma.

```
DySi3Ni5
1.0
18.7188 0.0000 0.0000
0.0000 3.7860 0.0000
0.0000 0.0000 6.6488
Dy Si Ni
4 12 20
Direct
0.1431 0.2500 0.1231
0.3569 0.7500 0.6231
0.6431 0.2500 0.3769
0.8569 0.7500 0.8769
0.0738 0.7500 0.8439
0.0865 0.7500 0.4206
0.2379 0.2500 0.6201
0.2621 0.7500 0.1201
0.4135 0.2500 0.9206
0.4262 0.2500 0.3439
0.5738 0.7500 0.6561
0.5865 0.7500 0.0794
0.7379 0.2500 0.8799
0.7621 0.7500 0.3799
0.9135 0.2500 0.5794
0.9262 0.2500 0.1561
0.0058 0.7500 0.1347
0.0157 0.2500 0.3857
0.1154 0.2500 0.6457
0.1993 0.7500 0.8132
0.2072 0.7500 0.4295
0.2928 0.2500 0.9295
0.3007 0.2500 0.3132
0.3846 0.7500 0.1457
0.4843 0.7500 0.8857
0.4942 0.2500 0.6347
0.5058 0.7500 0.3653
0.5157 0.2500 0.1143
0.6154 0.2500 0.8543
0.6993 0.7500 0.6868
0.7072 0.7500 0.0705
0.7928 0.2500 0.5705
0.8007 0.2500 0.1868
0.8846 0.7500 0.3543
0.9843 0.7500 0.6143
0.9942 0.2500 0.8653
```

[14]
A geometry-optimized DySi3Ni2 structure. Source: Alexandria via LeMat-Bulk, functional PBE.

## Properties
As for the symmetry: Cmcm.

```
DySi3Ni2
1.0
4.5768 -3.6540 0.0000
4.5768 3.6540 0.0000
0.0000 0.0000 5.2677
Dy Si Ni
2 6 4
Direct
0.1676 0.8324 0.7500
0.8324 0.1676 0.2500
0.0372 0.6349 0.2500
0.3651 0.9628 0.2500
0.4505 0.5495 0.2500
0.5495 0.4505 0.7500
0.6349 0.0372 0.7500
0.9628 0.3651 0.7500
0.2914 0.2914 0.0000
0.2914 0.2914 0.5000
0.7086 0.7086 0.0000
0.7086 0.7086 0.5000
```

[15]
A geometry-optimized DySi3Ni5 structure. Source: Alexandria via LeMat-Bulk, functional PBE.

## Properties
The value obtained for the energy relative to the lowest polymorph listed for this composition is 44 meV per atom. As for the symmetry: Cmcm.

```
DySi3Ni5
1.0
1.8292 -5.8403 0.0000
1.8292 5.8403 0.0000
0.0000 0.0000 11.5500
Dy Si Ni
2 6 10
Direct
0.1587 0.8413 0.7500
0.8413 0.1587 0.2500
0.1139 0.8861 0.2500
0.3832 0.6168 0.0407
0.3832 0.6168 0.4593
0.6168 0.3832 0.5407
0.6168 0.3832 0.9593
0.8861 0.1139 0.7500
0.0000 0.0000 0.0000
0.0000 0.0000 0.5000
0.1972 0.8028 0.0682
0.1972 0.8028 0.4318
0.4492 0.5508 0.6456
0.4492 0.5508 0.8544
0.5508 0.4492 0.1456
0.5508 0.4492 0.3544
0.8028 0.1972 0.5682
0.8028 0.1972 0.9318
```

[16]
A geometry-optimized Dy2SiNi7 structure. Source: Alexandria via LeMat-Bulk, functional PBE.

## Properties
As for the symmetry: P-4m2.

```
Dy2SiNi7
1.0
3.7836 0.0000 0.0000
0.0000 3.7836 0.0000
0.0000 0.0000 10.2409
Dy Si Ni
2 1 7
Direct
0.0000 0.5000 0.2389
0.5000 0.0000 0.7611
0.0000 0.0000 0.5000
0.0000 0.0000 0.0000
0.0000 0.5000 0.6321
0.0000 0.5000 0.8574
0.5000 0.0000 0.1426
0.5000 0.0000 0.3679
0.5000 0.5000 0.0000
0.5000 0.5000 0.5000
```

[17]
A geometry-optimized Dy3Si2Ni7 structure. Source: Alexandria via LeMat-Bulk, functional PBE.

## Properties
As for the symmetry: R-3m.

```
Dy3Si2Ni7
1.0
2.5624 1.4794 7.7654
-2.5624 1.4794 7.7654
0.0000 -2.9588 7.7654
Dy Si Ni
3 2 7
Direct
0.0000 0.0000 0.0000
0.1415 0.1415 0.1415
0.8585 0.8585 0.8585
0.3321 0.3321 0.3321
0.6679 0.6679 0.6679
0.0807 0.5763 0.5763
0.4237 0.4237 0.9193
0.4237 0.9193 0.4237
0.5000 0.5000 0.5000
0.5763 0.0807 0.5763
0.5763 0.5763 0.0807
0.9193 0.4237 0.4237
```

no.,spin magnetization (μB per cell),raw formation energy (eV/atom)
1,0.0,-0.49
2,0.0,-0.79
3,0.0,-0.70
4,0.0,-0.69
5,0.0,-0.72
6,0.0,-0.54
7,0.0,-0.68
8,0.0,-0.82
9,0.0,-0.77
10,0.0,-0.80
11,0.0,-0.50
12,0.0,-0.83
13,0.0,-0.72
14,0.0,-0.56
15,0.0,-0.67
16,0.0,-0.34
17,0.0,-0.60